No. 1
# PBE-GGA ErPaCuRh, relaxed
data_ErPaCuRh
_symmetry_space_group_name_H-M 'F -4 3 m'
_symmetry_Int_Tables_number 216
_symmetry_space_group_name_Hall 'F -4 2 3'
_cell_length_a 6.8822
_cell_length_b 6.8822
_cell_length_c 6.8822
_cell_angle_alpha 90.00
_cell_angle_beta 90.00
_cell_angle_gamma 90.00
loop_
_atom_site_label
_atom_site_type_symbol
_atom_site_fract_x
_atom_site_fract_y
_atom_site_fract_z
Er1 Er 0.0000 0.0000 0.0000
Pa1 Pa 0.0000 0.0000 0.5000
Cu1 Cu 0.2500 0.2500 0.7500
Rh1 Rh 0.2500 0.2500 0.2500
# Total DFT energy (no corrections) in eV/cell: -107.6
# Calculated formation energy in eV per atom: -0.35

***

No. 2
# PBE-GGA Zr2Ti2Ag, relaxed
data_Zr2Ti2Ag
_symmetry_space_group_name_H-M 'P 4/m b m'
_symmetry_Int_Tables_number 127
_symmetry_space_group_name_Hall '-P 4 2ab'
_cell_length_a 7.1211
_cell_length_b 7.1211
_cell_length_c 3.9504
_cell_angle_alpha 90.00
_cell_angle_beta 90.00
_cell_angle_gamma 90.00
loop_
_atom_site_label
_atom_site_type_symbol
_atom_site_fract_x
_atom_site_fract_y
_atom_site_fract_z
Zr1 Zr 0.1609 0.3391 0.0000
Ti1 Ti 0.1343 0.6343 0.5000
Ag1 Ag 0.0000 0.0000 0.5000
# Energy above the lowest structure with this stoichiometry in eV/f.u.: 0.000
# Total DFT energy (no corrections) in eV/cell: -70.2
# Calculated formation energy in eV per atom: 0.12

***

No. 3
# PBE-GGA ScV3Ir, relaxed
data_ScV3Ir
_symmetry_space_group_name_H-M 'P m -3 m'
_symmetry_Int_Tables_number 221
_symmetry_space_group_name_Hall '-P 4 2 3'
_cell_length_a 4.2997
_cell_length_b 4.2997
_cell_length_c 4.2997
_cell_angle_alpha 90.00
_cell_angle_beta 90.00
_cell_angle_gamma 90.00
loop_
_atom_site_label
_atom_site_type_symbol
_atom_site_fract_x
_atom_site_fract_y
_atom_site_fract_z
Sc1 Sc 0.0000 0.0000 0.0000
V1 V 0.0000 0.0000 0.5000
Ir1 Ir 0.5000 0.5000 0.5000
# Energy above the lowest structure with this stoichiometry in eV/f.u.: 4.679
# Total DFT energy (no corrections) in eV/cell: -34.6
# Calculated formation energy in eV per atom: 1.60

***

No. 4
# PBE-GGA MgAs2Cl, relaxed
data_MgAs2Cl
_symmetry_space_group_name_H-M 'C m m m'
_symmetry_Int_Tables_number 65
_symmetry_space_group_name_Hall '-C 2 2'
_cell_length_a 4.9822
_cell_length_b 11.5725
_cell_length_c 3.0678
_cell_angle_alpha 90.00
_cell_angle_beta 90.00
_cell_angle_gamma 90.00
loop_
_atom_site_label
_atom_site_type_symbol
_atom_site_fract_x
_atom_site_fract_y
_atom_site_fract_z
Mg1 Mg 0.0000 0.0000 0.0000
As1 As 0.2500 0.2500 0.5000
Cl1 Cl 0.0000 0.5000 0.0000
# Energy above the lowest structure with this stoichiometry in eV/f.u.: 2.055
# Total DFT energy (no corrections) in eV/cell: -26.1

***

No. 5
# PBE-GGA Pu2ThOs, relaxed
data_Pu2ThOs
_symmetry_space_group_name_H-M 'R -3 m'
_symmetry_Int_Tables_number 166
_symmetry_space_group_name_Hall '-R 3 2"'
_cell_length_a 3.3129
_cell_length_b 3.3129
_cell_length_c 32.2545
_cell_angle_alpha 90.00
_cell_angle_beta 90.00
_cell_angle_gamma 120.00
loop_
_atom_site_label
_atom_site_type_symbol
_atom_site_fract_x
_atom_site_fract_y
_atom_site_fract_z
Pu1 Pu 0.0000 0.0000 0.1016
Th1 Th 0.0000 0.0000 0.0000
Os1 Os 0.0000 0.0000 0.5000
# Total DFT energy (no corrections) in eV/cell: -137.1
# Calculated formation energy in eV per atom: 0.41

***

No. 6
# PBE-GGA PmPrO, relaxed
data_PmPrO
_symmetry_space_group_name_H-M 'I 4 m m'
_symmetry_Int_Tables_number 107
_symmetry_space_group_name_Hall 'I 4 -2'
_cell_length_a 5.0694
_cell_length_b 5.0694
_cell_length_c 9.1113
_cell_angle_alpha 90.00
_cell_angle_beta 90.00
_cell_angle_gamma 90.00
loop_
_atom_site_label
_atom_site_type_symbol
_atom_site_fract_x
_atom_site_fract_y
_atom_site_fract_z
Pm1 Pm 0.0000 0.0000 0.0000
Pr1 Pr 0.0000 0.0000 0.4591
O1 O 0.0000 0.0000 0.2270
# Energy above the lowest structure with this stoichiometry in eV/f.u.: 2.156
# Total DFT energy (no corrections) in eV/cell: -34.8

***

No. 7
# PBE-GGA Pm4ErTm6, relaxed
data_Pm4ErTm6
_symmetry_space_group_name_H-M 'I -4 2 m'
_symmetry_Int_Tables_number 121
_symmetry_space_group_name_Hall 'I -4 2'
_cell_length_a 6.5922
_cell_length_b 6.5922
_cell_length_c 16.8889
_cell_angle_alpha 90.00
_cell_angle_beta 90.00
_cell_angle_gamma 90.00
loop_
_atom_site_label
_atom_site_type_symbol
_atom_site_fract_x
_atom_site_fract_y
_atom_site_fract_z
Pm1 Pm 0.1889 0.1889 0.3249
Er1 Er 0.0000 0.0000 0.5000
Tm1 Tm 0.0000 0.5000 0.0000
Tm2 Tm 0.1784 0.1784 0.1254
# Energy above the lowest structure with this stoichiometry in eV/f.u.: 1.384
# Total DFT energy (no corrections) in eV/cell: -94.2
# Calculated formation energy in eV per atom: 0.30

***

No. 8
# PBE-GGA Li2CaRu, relaxed
data_Li2CaRu
_symmetry_space_group_name_H-M 'I -4 2 d'
_symmetry_Int_Tables_number 122
_symmetry_space_group_name_Hall 'I -4 2bw'
_cell_length_a 4.0254
_cell_length_b 4.0254
_cell_length_c 19.7621
_cell_angle_alpha 90.00
_cell_angle_beta 90.00
_cell_angle_gamma 90.00
loop_
_atom_site_label
_atom_site_type_symbol
_atom_site_fract_x
_atom_site_fract_y
_atom_site_fract_z
Li1 Li 0.1873 0.7500 0.1250
Ca1 Ca 0.0000 0.0000 0.5000
Ru1 Ru 0.0000 0.0000 0.0000
# Energy above the lowest structure with this stoichiometry in eV/f.u.: 0.811
# Total DFT energy (no corrections) in eV/cell: -53.0
# Calculated formation energy in eV per atom: 0.46

***

No. 9
# PBE-GGA IrPtAu2, relaxed
data_IrPtAu2
_symmetry_space_group_name_H-M 'P m m m'
_symmetry_Int_Tables_number 47
_cell_length_a 2.7966
_cell_length_b 4.1045
_cell_length_c 5.7555
_cell_angle_alpha 90.00
_cell_angle_beta 90.00
_cell_angle_gamma 90.00
loop_
_symmetry_equiv_pos_as_xyz
'x,y,z'
'-x,-y,-z'
'-x,-y,z'
'x,y,-z'
'x,-y,-z'
'-x,y,z'
'-x,y,-z'
'x,-y,z'
loop_
_atom_site_label
_atom_site_type_symbol
_atom_site_fract_x
_atom_site_fract_y
_atom_site_fract_z
Ir1 Ir 0.0000 0.0000 0.0000
Pt1 Pt 0.0000 0.0000 0.5000
Au1 Au 0.5000 0.5000 0.2466
# Energy above the lowest structure with this stoichiometry in eV/f.u.: 0.651
# Total DFT energy (no corrections) in eV/cell: -20.1
# Calculated formation energy in eV per atom: 0.33

***

No. 10
# PBE-GGA AcTl2Si2S6, relaxed
data_AcTl2Si2S6
_symmetry_space_group_name_H-M 'C 1 2/m 1'
_symmetry_Int_Tables_number 12
_cell_length_a 11.1910
_cell_length_b 7.7131
_cell_length_c 8.7213
_cell_angle_alpha 90.00
_cell_angle_beta 114.22
_cell_angle_gamma 90.00
loop_
_symmetry_equiv_pos_as_xyz
'x,y,z'
'-x,-y,-z'
'-x,y,-z'
'x,-y,z'
'x+1/2,y+1/2,z'
'-x+1/2,-y+1/2,-z'
'-x+1/2,y+1/2,-z'
'x+1/2,-y+1/2,z'
loop_
_atom_site_label
_atom_site_type_symbol
_atom_site_fract_x
_atom_site_fract_y
_atom_site_fract_z
Ac1 Ac 0.0000 0.0000 0.0000
Tl1 Tl 0.1863 0.0000 0.6382
Si1 Si 0.0306 0.5000 0.8707
S1 S 0.0616 0.2756 0.2656
S2 S 0.2342 0.5000 0.9875
# Total DFT energy (no corrections) in eV/cell: -106.5

***

No. 11
# PBE-GGA FeBSN2, relaxed
data_FeBSN2
_symmetry_space_group_name_H-M 'P 4/m m m'
_symmetry_Int_Tables_number 123
_symmetry_space_group_name_Hall '-P 4 2'
_cell_length_a 3.1213
_cell_length_b 3.1213
_cell_length_c 6.9908
_cell_angle_alpha 90.00
_cell_angle_beta 90.00
_cell_angle_gamma 90.00
loop_
_atom_site_label
_atom_site_type_symbol
_atom_site_fract_x
_atom_site_fract_y
_atom_site_fract_z
Fe1 Fe 0.0000 0.0000 0.0000
B1 B 0.5000 0.5000 0.5000
S1 S 0.5000 0.5000 0.0000
N1 N 0.0000 0.5000 0.5000
# Energy above the lowest structure with this stoichiometry in eV/f.u.: 0.000
# Total DFT energy (no corrections) in eV/cell: -31.3

***

No. 12
# PBE-GGA Mg2TaIO, relaxed
data_Mg2TaIO
_symmetry_space_group_name_H-M 'P 4/m m m'
_symmetry_Int_Tables_number 123
_symmetry_space_group_name_Hall '-P 4 2'
_cell_length_a 3.9749
_cell_length_b 3.9749
_cell_length_c 6.1456
_cell_angle_alpha 90.00
_cell_angle_beta 90.00
_cell_angle_gamma 90.00
loop_
_atom_site_label
_atom_site_type_symbol
_atom_site_fract_x
_atom_site_fract_y
_atom_site_fract_z
Mg1 Mg 0.0000 0.5000 0.0000
Ta1 Ta 0.0000 0.0000 0.5000
I1 I 0.5000 0.5000 0.5000
O1 O 0.5000 0.5000 0.0000
# Total DFT energy (no corrections) in eV/cell: -22.3

***

No. 13
# PBE-GGA Sr3Re2O9, relaxed
data_Sr3Re2O9
_symmetry_space_group_name_H-M 'R -3 c'
_symmetry_Int_Tables_number 167
_symmetry_space_group_name_Hall '-R 3 2"c'
_cell_length_a 9.9321
_cell_length_b 9.9321
_cell_length_c 13.2512
_cell_angle_alpha 90.00
_cell_angle_beta 90.00
_cell_angle_gamma 120.00
loop_
_atom_site_label
_atom_site_type_symbol
_atom_site_fract_x
_atom_site_fract_y
_atom_site_fract_z
Sr1 Sr 0.0000 0.3363 0.2500
Re1 Re 0.0000 0.0000 0.1537
O1 O 0.0000 0.1684 0.7500
O2 O 0.0048 0.1661 0.0893
# Total DFT energy (no corrections) in eV/cell: -633.4